Record 1
! Nb2BP | the Alexandria database | PBE-GGA | optimized geometry; values from VASP
&SYSTEM
  ibrav = 0, nat = 4, ntyp = 3
/
ATOMIC_SPECIES
Nb 92.91 Nb.upf
B 10.81 B.upf
P 30.97 P.upf
CELL_PARAMETERS angstrom
0.0000 3.0139 3.0139
3.0139 0.0000 3.0139
3.0139 3.0139 0.0000
ATOMIC_POSITIONS crystal
Nb 0.2500 0.2500 0.2500
Nb 0.7500 0.7500 0.7500
B 0.0000 0.0000 0.0000
P 0.5000 0.5000 0.5000
! - E_form (eV per atom) = -0.11
! - distance to the lowest polymorph of the same formula (eV per atom) = 0.5554
! - total magnetization (μB/f.u.) = 0.0
! - SG = Fm-3m, No. 225
! - D(E_F) (states/eV per cell) = 3.53

Record 2
! ZnCdAsCl | the Alexandria database | PBE-GGA | optimized geometry; values from VASP
&SYSTEM
  ibrav = 0, nat = 4, ntyp = 4
/
ATOMIC_SPECIES
Zn 65.41 Zn.upf
Cd 112.41 Cd.upf
As 74.92 As.upf
Cl 35.45 Cl.upf
CELL_PARAMETERS angstrom
2.1025 1.2139 7.2335
-2.1025 1.2139 7.2335
0.0000 -2.4278 7.2335
ATOMIC_POSITIONS crystal
Zn 0.0000 0.0000 0.0000
Cd 0.4558 0.4558 0.4558
As 0.3374 0.3374 0.3374
Cl 0.8485 0.8485 0.8485
! - total magnetization (μB/f.u.) = 0.0
! - SG = R3m, No. 160
! - VASP energy (eV/atom) = -2.62
! - D(E_F) (states/eV per cell) = 0.34

Record 3
! LiLaGe4 | the Alexandria database | PBE-GGA | optimized geometry; values from VASP
&SYSTEM
  ibrav = 0, nat = 6, ntyp = 3
/
ATOMIC_SPECIES
Li 6.94 Li.upf
La 138.91 La.upf
Ge 72.64 Ge.upf
CELL_PARAMETERS angstrom
0.0000 3.9927 3.9927
3.9927 0.0000 3.9927
3.9927 3.9927 0.0000
ATOMIC_POSITIONS crystal
Li 0.0000 0.0000 0.0000
La 0.2500 0.2500 0.2500
Ge 0.1223 0.6259 0.6259
Ge 0.6259 0.1223 0.6259
Ge 0.6259 0.6259 0.1223
Ge 0.6259 0.6259 0.6259
! - E_form (eV per atom) = -0.34
! - total magnetization (μB/f.u.) = 0.0
! - SG = F-43m, No. 216

Record 4
! Li2LaSc | the Alexandria database | PBE-GGA | optimized geometry; values from VASP
&SYSTEM
  ibrav = 0, nat = 4, ntyp = 3
/
ATOMIC_SPECIES
Li 6.94 Li.upf
La 138.91 La.upf
Sc 44.96 Sc.upf
CELL_PARAMETERS angstrom
5.8951 -1.7393 0.0000
5.8951 1.7393 0.0000
-2.4183 0.0000 4.8213
ATOMIC_POSITIONS crystal
Li 0.0000 0.0000 0.0000
Li 0.6926 0.6926 0.1977
La 0.4596 0.4596 0.4612
Sc 0.2443 0.2443 0.7497
! - E_form (eV per atom) = 0.18
! - distance to the lowest polymorph of the same formula (eV per atom) = 0.0845
! - total magnetization (μB/f.u.) = 0.8
! - SG = Cm, No. 8
! - D(E_F) (states/eV per cell) = 4.96

Record 5
! NaGe4Rh6 | the Alexandria database | PBE-GGA | optimized geometry; values from VASP
&SYSTEM
  ibrav = 0, nat = 11, ntyp = 3
/
ATOMIC_SPECIES
Na 22.99 Na.upf
Ge 72.64 Ge.upf
Rh 102.91 Rh.upf
CELL_PARAMETERS angstrom
7.2711 0.0000 0.0000
-3.6356 6.2970 0.0000
0.0000 0.0000 3.7650
ATOMIC_POSITIONS crystal
Na 0.0000 0.0000 0.0000
Ge 0.3333 0.6667 0.0000
Ge 0.3914 0.1957 0.5000
Ge 0.8043 0.1957 0.5000
Ge 0.8043 0.6086 0.5000
Rh 0.1979 0.3959 0.5000
Rh 0.1979 0.8021 0.5000
Rh 0.5341 0.0681 0.0000
Rh 0.5341 0.4659 0.0000
Rh 0.6041 0.8021 0.5000
Rh 0.9319 0.4659 0.0000
! - E_form (eV per atom) = -0.51
! - total magnetization (μB/f.u.) = 0.0
! - SG = P-6m2, No. 187
! - D(E_F) (states/eV per cell) = 6.87

Record 6
! CaHgW2 | the Alexandria database | PBE-GGA | optimized geometry; values from VASP
&SYSTEM
  ibrav = 0, nat = 4, ntyp = 3
/
ATOMIC_SPECIES
Ca 40.08 Ca.upf
Hg 200.59 Hg.upf
W 183.84 W.upf
CELL_PARAMETERS angstrom
2.8158 0.0000 0.0000
0.0000 2.8158 0.0000
0.0000 0.0000 9.7492
ATOMIC_POSITIONS crystal
Ca 0.0000 0.0000 0.0000
Hg 0.5000 0.5000 0.2652
W 0.0000 0.0000 0.5052
W 0.5000 0.5000 0.7346
! - E_form (eV per atom) = 0.68
! - total magnetization (μB/f.u.) = 0.0
! - SG = P4mm, No. 99
! - D(E_F) (states/eV per cell) = 3.42

Record 7
! Tb2Pm2I7 | the Alexandria database | PBE-GGA | optimized geometry; values from VASP
&SYSTEM
  ibrav = 0, nat = 11, ntyp = 3
/
ATOMIC_SPECIES
Tb 158.93 Tb.upf
Pm 145.00 Pm.upf
I 126.90 I.upf
CELL_PARAMETERS angstrom
4.5958 -6.6937 0.0000
4.5958 6.6937 0.0000
-0.3367 0.0000 8.1967
ATOMIC_POSITIONS crystal
Tb 0.1992 0.1992 0.3388
Tb 0.8008 0.8008 0.6612
Pm 0.1350 0.8650 0.0000
Pm 0.8650 0.1350 0.0000
I 0.0854 0.4874 0.2170
I 0.1336 0.1336 0.7190
I 0.4874 0.0854 0.2170
I 0.5000 0.5000 0.5000
I 0.5126 0.9146 0.7830
I 0.8664 0.8664 0.2810
I 0.9146 0.5126 0.7830
! - total magnetization (μB/f.u.) = 0.8
! - SG = C2/m, No. 12
! - VASP energy (eV/atom) = -3.67
! - D(E_F) (states/eV per cell) = 7.22

Record 8
! InNiAg2P | the Alexandria database | PBE-GGA | optimized geometry; values from VASP
&SYSTEM
  ibrav = 0, nat = 5, ntyp = 4
/
ATOMIC_SPECIES
In 114.82 In.upf
Ni 58.69 Ni.upf
Ag 107.87 Ag.upf
P 30.97 P.upf
CELL_PARAMETERS angstrom
5.0870 0.0000 0.0000
0.0000 5.0870 0.0000
0.0000 0.0000 4.7208
ATOMIC_POSITIONS crystal
In 0.0000 0.0000 0.0000
Ni 0.0000 0.0000 0.5000
Ag 0.0000 0.5000 0.0000
Ag 0.5000 0.0000 0.0000
P 0.5000 0.5000 0.5000
! - E_form (eV per atom) = 1.18
! - total magnetization (μB/f.u.) = 0.0
! - SG = P4/mmm, No. 123
! - D(E_F) (states/eV per cell) = 1.92

Record 9
! BaSm4In5 | the Alexandria database | PBE-GGA | optimized geometry; values from VASP
&SYSTEM
  ibrav = 0, nat = 10, ntyp = 3
/
ATOMIC_SPECIES
Ba 137.33 Ba.upf
Sm 150.36 Sm.upf
In 114.82 In.upf
CELL_PARAMETERS angstrom
3.9056 0.0000 0.0000
0.0000 3.9056 0.0000
0.0000 0.0000 19.6816
ATOMIC_POSITIONS crystal
Ba 0.0000 0.0000 0.0000
Sm 0.0000 0.0000 0.2148
Sm 0.0000 0.0000 0.4054
Sm 0.0000 0.0000 0.5946
Sm 0.0000 0.0000 0.7852
In 0.5000 0.5000 0.1241
In 0.5000 0.5000 0.3111
In 0.5000 0.5000 0.5000
In 0.5000 0.5000 0.6889
In 0.5000 0.5000 0.8759
! - E_form (eV per atom) = -0.46
! - total magnetization (μB/f.u.) = 0.0
! - SG = P4/mmm, No. 123
! - D(E_F) (states/eV per cell) = 5.94

Record 10
! PmCu4Si2 | the Alexandria database | PBE-GGA | optimized geometry; values from VASP
&SYSTEM
  ibrav = 0, nat = 7, ntyp = 3
/
ATOMIC_SPECIES
Pm 145.00 Pm.upf
Cu 63.55 Cu.upf
Si 28.09 Si.upf
CELL_PARAMETERS angstrom
2.0424 -6.3627 0.0000
2.0424 6.3627 0.0000
0.0000 0.0000 4.1027
ATOMIC_POSITIONS crystal
Pm 0.0000 0.0000 0.0000
Cu 0.1894 0.8106 0.5000
Cu 0.3118 0.6882 0.0000
Cu 0.6882 0.3118 0.0000
Cu 0.8106 0.1894 0.5000
Si 0.4040 0.5960 0.5000
Si 0.5960 0.4040 0.5000
! - distance to the lowest polymorph of the same formula (eV per atom) = 0.0000
! - total magnetization (μB/f.u.) = 0.0
! - SG = Cmmm, No. 65
! - D(E_F) (states/eV per cell) = 2.03

Record 11
! LaPu2Te4 | the Alexandria database | PBE-GGA | optimized geometry; values from VASP
&SYSTEM
  ibrav = 0, nat = 14, ntyp = 3
/
ATOMIC_SPECIES
La 138.91 La.upf
Pu 244.00 Pu.upf
Te 127.60 Te.upf
CELL_PARAMETERS angstrom
2.2048 -7.2420 0.0000
2.2048 7.2420 0.0000
0.0000 0.0000 15.1335
ATOMIC_POSITIONS crystal
La 0.1160 0.8840 0.7500
La 0.8840 0.1160 0.2500
Pu 0.3655 0.6345 0.5641
Pu 0.3655 0.6345 0.9359
Pu 0.6345 0.3655 0.0641
Pu 0.6345 0.3655 0.4359
Te 0.0000 0.0000 0.0000
Te 0.0000 0.0000 0.5000
Te 0.2746 0.7254 0.1244
Te 0.2746 0.7254 0.3756
Te 0.4552 0.5448 0.7500
Te 0.5448 0.4552 0.2500
Te 0.7254 0.2746 0.6244
Te 0.7254 0.2746 0.8756
! - total magnetization (μB/f.u.) = 11.0
! - SG = Cmcm, No. 63
! - VASP energy (eV/atom) = -7.82
! - D(E_F) (states/eV per cell) = 51.06

Record 12
! Mn2OsW | the Alexandria database | PBE-GGA | optimized geometry; values from VASP
&SYSTEM
  ibrav = 0, nat = 4, ntyp = 3
/
ATOMIC_SPECIES
Mn 54.94 Mn.upf
Os 190.23 Os.upf
W 183.84 W.upf
CELL_PARAMETERS angstrom
1.3545 0.7820 8.6930
-1.3545 0.7820 8.6930
0.0000 -1.5640 8.6930
ATOMIC_POSITIONS crystal
Mn 0.2474 0.2474 0.2474
Mn 0.7526 0.7526 0.7526
Os 0.5000 0.5000 0.5000
W 0.0000 0.0000 0.0000
! - E_form (eV per atom) = 0.26
! - total magnetization (μB/f.u.) = 3.8
! - SG = R-3m, No. 166
! - D(E_F) (states/eV per cell) = 4.23

- What is the formula in the fifth record?
  NaGe4Rh6

- total magnetization of number 10 (PmCu4Si2)?
  0.0 μB/f.u.